No. 1
VASP calculation (PBE) on a relaxed structure of ZrBPO.

Calculated values
VASP energy, eV per cell: -55.2
Energy above the lowest structure with this stoichiometry, meV per atom: 658
V, A^3/atom: 12.342

a = 4.869 Å, b = 4.869 Å, c = 4.165 Å
α = 90.00°, β = 90.00°, γ = 90.00°
Space group P4/nmm (No. 129, origin choice 2)
Unique sites:
Zr (0.250, 0.750, 0.000) x2
B (0.250, 0.250, 0.171) x2
P (0.250, 0.250, 0.705) x2
O (0.250, 0.750, 0.500) x2


No. 2
VASP calculation (PBE) on a relaxed structure of AcPrNO.

Calculated values
VASP energy, eV per cell: -56.9
Energy above the lowest structure with this stoichiometry, meV per atom: 349
V, A^3/atom: 22.183

a = 4.434 Å, b = 4.434 Å, c = 9.027 Å
α = 90.00°, β = 90.00°, γ = 90.00°
Space group P4/nmm (No. 129, origin choice 2)
Unique sites:
Ac (0.250, 0.250, 0.126) x2
Pr (0.250, 0.750, 0.500) x2
N (0.250, 0.250, 0.629) x2
O (0.250, 0.750, 0.000) x2


No. 3
VASP calculation (PBE) on a relaxed structure of ZnNiBW.

Calculated values
VASP energy, eV per cell: -97.9
V, A^3/atom: 11.772

a = 5.732 Å, b = 5.732 Å, c = 5.732 Å
α = 90.00°, β = 90.00°, γ = 90.00°
Space group F-43m (No. 216)
Unique sites:
Zn (0.000, 0.000, 0.000) x4
Ni (0.250, 0.250, 0.250) x4
B (0.250, 0.250, 0.750) x4
W (0.000, 0.000, 0.500) x4


No. 4
VASP calculation (PBE) on a relaxed structure of Ho2AlCoOs.

Calculated values
VASP energy, eV per cell: -66.8
V, A^3/atom: 19.170

a = 4.062 Å, b = 8.486 Å, c = 5.561 Å
α = 90.00°, β = 90.00°, γ = 90.00°
Space group Imm2 (No. 44)
Unique sites:
Ho (0.000, 0.207, 0.000) x4
Al (0.000, 0.000, 0.503) x2
Co (0.000, 0.500, 0.732) x2
Os (0.000, 0.500, 0.298) x2